CaTcP2: optimized geometry, GGA-PBE.

Computed properties:
The relative energy among the computed polymorphs is 334.2 meV/atom. The formation energy from the elements comes out at -0.254 eV/atom. For the size of the total moment, the calculation gives 0.00 μB/atom.

abc: 3.2127 3.2127 6.6360
angles: 90.00 90.00 90.00
With the nearest neighbours (Å) after each atom.
Sites, in units of the cell vectors:
1 Ca 0.5000 0.5000 0.7673  5 P 2.93-3.25, 4 Ca 3.21
2 P 0.0000 0.0000 0.0469  1 Tc 2.39
3 P 0.5000 0.5000 0.2781  4 Tc 2.43
4 Tc 0.0000 0.0000 0.4077  5 P 2.39-2.43